TlOs after structural relaxation, computed with GGA-PBE.

Calculated values
**Spin magnetization**: 0.00 Bohr magnetons per cell
**ΔE to the lowest computed polymorph**: 5.38 kcal/mol of atoms
**Total energy**: -5.962 eV/atom
**Formation energy**: 0.837 eV per atom
**Volume**: 23.1 Å³/atom

Cell: 4.458 9.718 6.410 Å, 90.00 90.00 90.00°
Space group Pmmn (No. 59, origin choice 2)
Inequivalent atoms, fractional coordinates:
Tl: 0.250 0.079 0.139 [4 per cell]
Tl: 0.250 0.750 0.459 [2 per cell]
Os: 0.250 0.038 0.579 [4 per cell]
Os: 0.250 0.250 0.787 [2 per cell]

Tl3Os after structural relaxation, computed with GGA-PBE.

Calculated values
**Spin magnetization**: 0.00 Bohr magnetons per cell
**ΔE to the lowest computed polymorph**: 12.93 kcal/mol of atoms
**Total energy**: -3.584 eV/atom
**Formation energy**: 0.998 eV per atom
**Volume**: 23.3 Å³/atom

Cell: 7.195 7.195 7.195 Å, 90.00 90.00 90.00°
Space group Fm-3m (No. 225)
Inequivalent atoms, fractional coordinates:
Tl: 0.000 0.000 0.000 [4 per cell]
Tl: 0.250 0.250 0.250 [8 per cell]
Os: 0.000 0.000 0.500 [4 per cell]

TlOs after structural relaxation, computed with GGA-PBE.

Calculated values
**Spin magnetization**: 0.00 Bohr magnetons per cell
**ΔE to the lowest computed polymorph**: 5.07 kcal/mol of atoms
**Total energy**: -5.975 eV/atom
**Formation energy**: 0.823 eV per atom
**Volume**: 24.9 Å³/atom

Cell: 4.1824 4.1824 13.1635 Å, 90.00 90.00 120.00°
Space group P6_3/mmc (No. 194)
Inequivalent atoms, fractional coordinates:
Tl: 0.3333 0.6667 0.0907 [4 per cell]
Os: 0.0000 0.0000 0.2500 [2 per cell]
Os: 0.3333 0.6667 0.7500 [2 per cell]